Compound: KBaCaMg
Source: Alexandria via LeMat-Bulk
Functional: GGA-PBE
Structure: optimized geometry

Energy relative to the elements: 0.13 eV per atom
V: 44.33 Å³/atom
Calculated total energy: -6.11 eV/cell

abc: 6.306 6.306 6.306
angles: 60.00 60.00 60.00
Fractional positions:
1 Ba 0.250 0.250 0.250
2 Ca 0.750 0.750 0.750
3 Mg 0.000 0.000 0.000
4 K 0.500 0.500 0.500

---

Compound: LiHo4Ag3
Source: Alexandria via LeMat-Bulk
Functional: GGA-PBE
Structure: optimized geometry

Energy relative to the elements: -0.22 eV per atom
V: 23.83 Å³/atom
Calculated total energy: -30.57 eV/cell

abc: 3.654 5.102 10.228
angles: 90.00 90.00 90.00
Fractional positions:
1 Ag 0.500 0.000 0.758
2 Ag 0.500 0.500 0.500
3 Ag 0.500 0.000 0.242
4 Ho 0.000 0.000 0.500
5 Ho 0.000 0.000 0.000
6 Ho 0.000 0.500 0.254
7 Ho 0.000 0.500 0.746
8 Li 0.500 0.500 0.000

---

Compound: Tb6NdEr2
Source: Alexandria via LeMat-Bulk
Functional: GGA-PBE
Structure: optimized geometry

Energy relative to the elements: 0.02 eV per atom
V: 31.93 Å³/atom
Energy relative to the lowest polymorph listed for this composition: 0.000 eV/f.u.
Calculated total energy: -41.53 eV/cell

abc: 3.565 8.714 12.819
angles: 132.71 82.00 90.05
Fractional positions:
1 Tb 0.332 0.335 0.335
2 Tb 0.111 0.443 0.778
3 Tb 0.221 0.891 0.556
4 Tb 0.668 0.665 0.665
5 Tb 0.889 0.557 0.222
6 Tb 0.779 0.109 0.444
7 Er 0.444 0.776 0.111
8 Er 0.556 0.224 0.889
9 Nd 0.000 0.000 0.000

---

Compound: V2CrHRh
Source: Alexandria via LeMat-Bulk
Functional: GGA-PBE
Structure: optimized geometry

V: 11.20 Å³/atom
Energy relative to the lowest polymorph listed for this composition: 0.326 eV/f.u.
Calculated total energy: -38.75 eV/cell

abc: 4.014 4.014 3.476
angles: 90.00 90.00 90.00
Site moments in Bohr magnetons follow the coordinates.
Fractional positions:
1 H 0.000 0.000 0.000  0.00
2 Rh 0.000 0.000 0.500  0.01
3 Cr 0.500 0.500 0.500  0.86
4 V 0.500 0.000 0.000  -0.39
5 V 0.000 0.500 0.000  -0.39

---

Compound: Au3C
Source: Alexandria via LeMat-Bulk
Functional: GGA-PBE
Structure: optimized geometry

Energy relative to the elements: 1.13 eV per atom
V: 16.44 Å³/atom
Energy relative to the lowest polymorph listed for this composition: 2.275 eV/f.u.
Calculated total energy: -14.54 eV/cell

abc: 5.071 5.071 5.071
angles: 146.09 112.64 77.60
Fractional positions:
1 Au 0.259 0.312 0.947
2 Au 0.950 0.500 0.450
3 Au 0.635 0.688 0.947
4 C 0.322 0.000 0.322

---

Compound: LaRu2
Source: Alexandria via LeMat-Bulk
Functional: GGA-PBE
Structure: optimized geometry

Energy relative to the elements: -0.04 eV per atom
V: 22.28 Å³/atom
Calculated total energy: -47.22 eV/cell

abc: 7.845 7.845 7.845
angles: 148.20 148.20 45.59
Fractional positions:
1 Ru 0.167 0.667 0.500
2 Ru 0.333 0.833 0.500
3 Ru 0.583 0.583 0.000
4 Ru 0.417 0.417 0.000
5 La 0.000 0.000 0.000
6 La 0.750 0.250 0.500

---

Compound: CaPa2NiN4
Source: Alexandria via LeMat-Bulk
Functional: GGA-PBE
Structure: optimized geometry

Formation energy from raw total energies: -1283 meV/atom
V: 14.54 Å³/atom
Calculated total energy: -140.69 eV/cell

abc: 3.546 6.008 11.428
angles: 90.00 90.00 107.16
Fractional positions:
1 N 0.740 0.479 0.603
2 N 0.260 0.521 0.103
3 N 0.558 0.117 0.250
4 N 0.260 0.521 0.397
5 N 0.442 0.883 0.750
6 N 0.000 0.000 0.500
7 N 0.740 0.479 0.897
8 N 0.000 0.000 0.000
9 Pa 0.368 0.736 0.937
10 Pa 0.632 0.264 0.063
11 Pa 0.632 0.264 0.437
12 Pa 0.368 0.736 0.563
13 Ca 0.098 0.196 0.750
14 Ca 0.902 0.804 0.250
15 Ni 0.163 0.327 0.250
16 Ni 0.837 0.673 0.750

---

Compound: Li3Hg2Au
Source: Alexandria via LeMat-Bulk
Functional: GGA-PBE
Structure: optimized geometry

Energy relative to the elements: -0.43 eV per atom
V: 17.30 Å³/atom
Energy relative to the lowest polymorph listed for this composition: 0.000 eV/f.u.
Calculated total energy: -24.43 eV/cell

abc: 7.430 7.430 6.302
angles: 90.00 90.00 143.37
Fractional positions:
1 Au 0.666 0.334 0.000
2 Au 0.334 0.666 0.000
3 Li 0.500 0.500 0.240
4 Li 0.172 0.828 0.766
5 Li 0.828 0.172 0.234
6 Li 0.828 0.172 0.766
7 Li 0.172 0.828 0.234
8 Li 0.500 0.500 0.760
9 Hg 0.666 0.334 0.500
10 Hg 0.334 0.666 0.500
11 Hg 0.000 0.000 0.000
12 Hg 0.000 0.000 0.500

---

Number 1: size of the total moment 0.1 μB/f.u.. Number 2: size of the total moment 0.0 μB/f.u.. Number 3: size of the total moment 0.0 μB/f.u.. Number 4: size of the total moment 0.1 μB/f.u.. Number 5: size of the total moment 0.0 μB/f.u.. Number 6: size of the total moment 0.0 μB/f.u.. Number 7: size of the total moment 0.0 μB/f.u.. Number 8: size of the total moment 0.0 μB/f.u..